InMo2Os: relaxed, PBE-GGA.

Cell and atoms, written as CIF:
```
data_InMo2Os
_space_group_name_H-M_alt 'P m m 2'
_space_group_IT_number 25
_cell_length_a 2.889
_cell_length_b 4.564
_cell_length_c 4.984
_cell_angle_alpha 90.00
_cell_angle_beta 90.00
_cell_angle_gamma 90.00
loop_
_space_group_symop_operation_xyz
'x,y,z'
'-x,-y,z'
'-x,y,z'
'x,-y,z'
loop_
_atom_site_label
_atom_site_type_symbol
_atom_site_fract_x
_atom_site_fract_y
_atom_site_fract_z
In1 In 0.000 0.000 0.000
Mo1 Mo 0.500 0.000 0.500
Mo2 Mo 0.500 0.500 0.804
Os1 Os 0.000 0.500 0.330
```

- calculated total energy (eV for the cell shown) = -34.38
- DFT formation energy (meV per atom) = 314
- crystal system = orthorhombic
- size of the total moment (μB per cell) = 0.0